Compound: MgZr2Hg
Source: Alexandria
Functional: PBEsol
Structure: optimized geometry

a b c (Å): 3.3130 4.2527 5.9046
angles (deg): 90.00 90.00 90.00
Closest atoms and distances in Å follow each position.
Fractional coordinates of all 4 atoms:
Hg 0.5000 0.5000 0.0000  2 Mg 2.95, 8 Zr 3.06
Mg 0.5000 0.5000 0.5000  2 Hg 2.95, 8 Zr 3.09
Zr 0.0000 0.0000 0.7545  2 Zr 2.90-3.00, 4 Hg 3.06, 4 Mg 3.09
Zr 0.0000 0.0000 0.2455  2 Zr 2.90-3.00, 4 Hg 3.06, 4 Mg 3.09

Computed properties:
As for the raw total energy: -5.257 eV per atom. As for the offset from the most stable computed form: 0.12 eV per formula unit. Its mass density is 8.13 g/cm3. The magnetization is 0.0000 μB per atom. For the density of states at the Fermi level, the calculation gives 3.23 states/eV/f.u.